Model 1:
Computed, not measured: a relaxed structure of Ni2H2Pd at the PBE level of DFT.

Output
calculated density: 8.7 g/cm3
SG: I4/mmm (139)
total magnetic moment: 0.00 Bohr magnetons per cell

a b c (Å): 2.8402 2.8402 5.6951
angles (deg): 104.44 104.44 90.00
Element x y z (fractional)
H  0.7500  0.2500  0.5000
H  0.2500  0.7500  0.5000
Ni  0.6641  0.6641  0.3281
Ni  0.3359  0.3359  0.6719
Pd  0.0000  0.0000  0.0000

---

Model 2:
Computed, not measured: a relaxed structure of Ni2H2Pd at the PBE level of DFT.

Output
calculated density: 8.1 g/cm3
SG: P4/mbm (127)
total magnetic moment: 1.89 Bohr magnetons per cell

a b c (Å): 4.9627 4.9627 3.7438
angles (deg): 90.00 90.00 90.00
Element x y z (fractional)
Ni  0.3181  0.1819  0.5000
Ni  0.8181  0.3181  0.5000
Ni  0.6819  0.8181  0.5000
Ni  0.1819  0.6819  0.5000
H  0.6780  0.8220  0.0000
H  0.1780  0.6780  0.0000
H  0.3220  0.1780  0.0000
H  0.8220  0.3220  0.0000
Pd  0.5000  0.5000  0.0000
Pd  0.0000  0.0000  0.0000

---

Short version: model 1 is the most stable of them.

---

Model 1:
Computed, not measured: a relaxed structure of Ni2H4Pd at the PBE level of DFT.

Output
calculated density: 7.5 g/cm3
SG: C2/c (15)
total magnetic moment: 0.00 Bohr magnetons per cell

a b c (Å): 5.2446 5.2446 5.2007
angles (deg): 120.23 120.25 89.74
Element x y z (fractional)
H  0.3964  0.6104  0.2193
H  0.4278  0.1420  0.2809
H  0.8536  0.1397  0.2807
H  0.3895  0.6036  0.7805
H  0.3920  0.1779  0.7811
H  0.8605  0.1464  0.7195
H  0.8581  0.5721  0.7189
H  0.8222  0.6081  0.2191
Pd  0.2493  0.7509  0.5000
Pd  0.0007  0.9991  0.0000
Ni  0.6250  0.8750  0.2500
Ni  0.6250  0.3750  0.2500
Ni  0.6250  0.3750  0.7500
Ni  0.1250  0.3750  0.7500

---

Model 2:
Computed, not measured: a relaxed structure of Ni2H4Pd at the PBE level of DFT.

Output
calculated density: 7.0 g/cm3
SG: P-1 (2)
total magnetic moment: 0.00 Bohr magnetons per cell

a b c (Å): 2.6771 4.3750 4.8669
angles (deg): 99.57 73.76 90.08
Element x y z (fractional)
Pd  0.0000  0.0000  0.0000
H  0.1540  0.6232  0.6889
H  0.6372  0.1296  0.7259
H  0.8460  0.3768  0.3111
H  0.3628  0.8704  0.2741
Ni  0.2499  0.2505  0.4998
Ni  0.7501  0.7495  0.5002

---

Short version: model 1 is the most stable of them.

---

Model 1:
Computed, not measured: a relaxed structure of NiH4Pd5 at the PBE level of DFT.

Output
calculated density: 10.1 g/cm3
SG: C2/m (12)
total magnetic moment: 0.00 Bohr magnetons per cell

a b c (Å): 2.8607 5.7330 6.2796
angles (deg): 103.09 103.17 90.00
Element x y z (fractional)
Pd  0.5000  0.5000  0.0000
Pd  0.1622  0.8352  0.3244
Pd  0.8378  0.1648  0.6756
Pd  0.8340  0.6696  0.6679
Pd  0.1660  0.3304  0.3321
H  0.3453  0.9053  0.6906
H  0.0017  0.7757  0.0033
H  0.6547  0.0947  0.3094
H  0.9983  0.2243  0.9967
Ni  0.5000  0.0000  0.0000

---

Model 2:
Computed, not measured: a relaxed structure of NiH4Pd5 at the PBE level of DFT.

Output
calculated density: 9.7 g/cm3
SG: Pmmn (59)
total magnetic moment: 0.00 Bohr magnetons per cell

a b c (Å): 4.6646 7.9870 5.4931
angles (deg): 90.00 90.00 90.00
Element x y z (fractional)
H  0.0387  0.8104  0.0000
H  0.5314  0.5000  0.7338
H  0.4686  0.0000  0.7662
H  0.9613  0.3104  0.5000
H  0.0387  0.1896  0.0000
H  0.5314  0.5000  0.2662
H  0.4686  0.0000  0.2338
H  0.9613  0.6896  0.5000
Pd  0.2491  0.3314  0.2491
Pd  0.7509  0.1686  0.2509
Pd  0.7509  0.8314  0.2509
Pd  0.2491  0.3314  0.7509
Pd  0.7509  0.1686  0.7491
Pd  0.7620  0.5000  0.0000
Pd  0.2491  0.6686  0.2491
Pd  0.7509  0.8314  0.7491
Pd  0.2380  0.0000  0.5000
Pd  0.2491  0.6686  0.7509
Ni  0.2275  0.0000  0.0000
Ni  0.7725  0.5000  0.5000

---

Short version: model 1 is the most stable of them.

---

Model 1:
Computed, not measured: a relaxed structure of Ni3H6Pd at the PBE level of DFT.

Output
calculated density: 6.3 g/cm3
SG: P2_1/m (11)
total magnetic moment: 0.00 Bohr magnetons per cell

a b c (Å): 2.6342 6.8275 8.9796
angles (deg): 109.60 90.00 90.00
Element x y z (fractional)
H  0.7500  0.6401  0.5383
H  0.2500  0.3599  0.4617
H  0.7500  0.5057  0.2698
H  0.7500  0.1962  0.6217
H  0.2500  0.0040  0.7538
H  0.2500  0.8038  0.3783
H  0.2500  0.8644  0.9087
H  0.2500  0.4943  0.7302
H  0.7500  0.1356  0.0913
H  0.7500  0.9960  0.2462
H  0.2500  0.7167  0.1121
H  0.7500  0.2833  0.8879
Ni  0.2500  0.2456  0.7504
Ni  0.7500  0.0219  0.8809
Ni  0.7500  0.7544  0.2496
Ni  0.2500  0.5772  0.4126
Ni  0.7500  0.4228  0.5874
Ni  0.2500  0.9781  0.1191
Pd  0.7500  0.6291  0.9088
Pd  0.2500  0.3709  0.0912

---

Model 2:
Computed, not measured: a relaxed structure of Ni3H6Pd at the PBE level of DFT.

Output
calculated density: 7.3 g/cm3
SG: Cmc2_1 (36)
total magnetic moment: 0.00 Bohr magnetons per cell

a b c (Å): 4.5458 5.4601 5.4601
angles (deg): 103.04 90.00 90.00
Element x y z (fractional)
Ni  0.8901  0.5972  0.4028
Ni  0.9671  0.0975  0.3119
Ni  0.9671  0.6881  0.9025
Ni  0.4671  0.3119  0.0975
Ni  0.3901  0.4028  0.5972
Ni  0.4671  0.9025  0.6881
H  0.1761  0.3657  0.3207
H  0.7268  0.5430  0.1010
H  0.0844  0.7787  0.2213
H  0.8044  0.9772  0.0228
H  0.1761  0.6793  0.6343
H  0.7268  0.8990  0.4570
H  0.2268  0.1010  0.5430
H  0.5844  0.2213  0.7787
H  0.6761  0.6343  0.6793
H  0.3044  0.0228  0.9772
H  0.2268  0.4570  0.8990
H  0.6761  0.3207  0.3657
Pd  0.9665  0.1748  0.8252
Pd  0.4665  0.8252  0.1748

---

Short version: model 1 is the most stable of them.

---

Model 1:
Computed, not measured: a relaxed structure of Ni2HPdPt at the PBE level of DFT.

Output
calculated density: 12.5 g/cm3
SG: P4/mmm (123)
total magnetic moment: 1.48 Bohr magnetons per cell

a b c (Å): 3.8483 3.8483 3.7608
angles (deg): 90.00 90.00 90.00
Element x y z (fractional)
Pd  0.0000  0.0000  0.5000
Ni  0.0000  0.5000  0.0000
Ni  0.5000  0.0000  0.0000
Pt  0.5000  0.5000  0.5000
H  0.0000  0.0000  0.0000

---

Model 2:
Computed, not measured: a relaxed structure of Ni2HPdPt at the PBE level of DFT.

Output
calculated density: 12.4 g/cm3
SG: P4/mmm (123)
total magnetic moment: 1.70 Bohr magnetons per cell

a b c (Å): 3.8722 3.8722 3.7409
angles (deg): 90.00 90.00 90.00
Element x y z (fractional)
H  0.0000  0.0000  0.0000
Pd  0.5000  0.5000  0.5000
Ni  0.5000  0.0000  0.0000
Ni  0.0000  0.5000  0.0000
Pt  0.0000  0.0000  0.5000

---

Short version: model 1 is the most stable of them.

---

Model 1:
Computed, not measured: a relaxed structure of NiHPdRh2 at the PBE level of DFT.

Output
calculated density: 10.5 g/cm3
SG: P4/mmm (123)
total magnetic moment: 1.93 Bohr magnetons per cell

a b c (Å): 3.8635 3.8635 3.9236
angles (deg): 90.00 90.00 90.00
Element x y z (fractional)
H  0.0000  0.0000  0.0000
Ni  0.5000  0.5000  0.5000
Rh  0.5000  0.0000  0.0000
Rh  0.0000  0.5000  0.0000
Pd  0.0000  0.0000  0.5000

---

Model 2:
Computed, not measured: a relaxed structure of NiHPdRh2 at the PBE level of DFT.

Output
calculated density: 10.9 g/cm3
SG: P4/mmm (123)
total magnetic moment: 1.31 Bohr magnetons per cell

a b c (Å): 3.8677 3.8677 3.7818
angles (deg): 90.00 90.00 90.00
Element x y z (fractional)
Ni  0.0000  0.0000  0.5000
H  0.0000  0.0000  0.0000
Rh  0.0000  0.5000  0.0000
Rh  0.5000  0.0000  0.0000
Pd  0.5000  0.5000  0.5000

---

Short version: model 2 is the most stable of them.

---

Model 1:
Computed, not measured: a relaxed structure of Ta2NiHPd at the PBE level of DFT.

Output
calculated density: 13.7 g/cm3
SG: P4/mmm (123)
total magnetic moment: 0.00 Bohr magnetons per cell

a b c (Å): 4.0523 4.0523 3.9114
angles (deg): 90.00 90.00 90.00
Element x y z (fractional)
Ta  0.5000  0.0000  0.0000
Ta  0.0000  0.5000  0.0000
Ni  0.0000  0.0000  0.5000
H  0.0000  0.0000  0.0000
Pd  0.5000  0.5000  0.5000

---

Model 2:
Computed, not measured: a relaxed structure of Ta2NiHPd at the PBE level of DFT.

Output
calculated density: 13.5 g/cm3
SG: P4/mmm (123)
total magnetic moment: 0.00 Bohr magnetons per cell

a b c (Å): 4.0220 4.0220 4.0061
angles (deg): 90.00 90.00 90.00
Element x y z (fractional)
Ni  0.5000  0.5000  0.5000
Ta  0.5000  0.0000  0.0000
Ta  0.0000  0.5000  0.0000
Pd  0.0000  0.0000  0.5000
H  0.0000  0.0000  0.0000

---

Short version: model 1 is the most stable of them.

---

Model 1:
Computed, not measured: a relaxed structure of Ti2NiHPd at the PBE level of DFT.

Output
calculated density: 7.2 g/cm3
SG: P4/mmm (123)
total magnetic moment: 0.73 Bohr magnetons per cell

a b c (Å): 4.0538 4.0538 3.6756
angles (deg): 90.00 90.00 90.00
Element x y z (fractional)
Ni  0.0000  0.0000  0.5000
Ti  0.0000  0.5000  0.0000
Ti  0.5000  0.0000  0.0000
Pd  0.5000  0.5000  0.5000
H  0.0000  0.0000  0.0000

---

Model 2:
Computed, not measured: a relaxed structure of Ti2NiHPd at the PBE level of DFT.

Output
calculated density: 7.1 g/cm3
SG: P4/mmm (123)
total magnetic moment: 0.78 Bohr magnetons per cell

a b c (Å): 3.9713 3.9713 3.8699
angles (deg): 90.00 90.00 90.00
Element x y z (fractional)
Pd  0.0000  0.0000  0.5000
Ti  0.5000  0.0000  0.0000
Ti  0.0000  0.5000  0.0000
Ni  0.5000  0.5000  0.5000
H  0.0000  0.0000  0.0000

---

Short version: model 1 is the most stable of them.